Entry 1:
LiFeSb3 | GGA-PBE | relaxed

The space group is Pm-3m (No. 221) and the conventional cell measures 4.993, 4.993 and 4.993 Å, with angles of 90.00, 90.00 and 90.00 degrees. The asymmetric unit holds Li at (0.000, 0.000, 0.000), Fe at (0.500, 0.500, 0.500) and Sb at (0.000, 0.500, 0.500).

For the formation energy without anion corrections, the calculation gives 1.28 eV per formula unit. The calculation puts the theoretical density at 5.71 g/cm³.

***

Entry 2:
Sr2CrGa | GGA-PBE | relaxed

The space group is I-42d (No. 122) and the conventional cell measures 8.782, 8.782 and 7.065 Å, with angles of 90.00, 90.00 and 90.00 degrees. The asymmetric unit holds Sr at (0.238, 0.750, 0.125), Cr at (0.000, 0.000, 0.500) and Ga at (0.000, 0.000, 0.000).

The value obtained for the calculated formation energy is 525 meV per atom. The calculation puts the theoretical density at 3.62 g/cm³.

***

Entry 3:
NpNb2Ga | GGA-PBE | relaxed

The space group is R-3m (No. 166, hexagonal axes) and the conventional cell measures 2.9030, 2.9030 and 30.9619 Å, with angles of 90.00, 90.00 and 120.00 degrees. The asymmetric unit holds Np at (0.0000, 0.0000, 0.0000), Nb at (0.0000, 0.0000, 0.2420) and Ga at (0.0000, 0.0000, 0.5000).

The value obtained for the calculated formation energy is 207 meV per atom. The calculation puts the theoretical density at 10.86 g/cm³.

***

Entry 4:
TaTc3Ir | GGA-PBE | relaxed

The space group is Pm-3m (No. 221) and the conventional cell measures 4.634, 4.634 and 4.634 Å, with angles of 90.00, 90.00 and 90.00 degrees. The asymmetric unit holds Ta at (0.000, 0.000, 0.000), Tc at (0.000, 0.500, 0.500) and Ir at (0.500, 0.500, 0.500).

The value obtained for the calculated formation energy is 1719 meV per atom. The calculation puts the theoretical density at 11.14 g/cm³.

***

Entry 5:
Pt2RhCl | GGA-PBE | relaxed

The space group is Imm2 (No. 44) and the conventional cell measures 2.773, 4.952 and 9.422 Å, with angles of 90.00, 90.00 and 90.00 degrees. The asymmetric unit holds Pt at (0.000, 0.000, 0.000), Pt at (0.000, 0.500, 0.243), Rh at (0.000, 0.500, 0.739) and Cl at (0.000, 0.000, 0.459).

For the formation energy without anion corrections, the calculation gives 1.88 eV per formula unit. The calculation puts the theoretical density at 13.57 g/cm³.

***

Entry 6:
BaSi2GeO8 | GGA-PBE | relaxed

The space group is R-3 (No. 148, hexagonal axes) and the conventional cell measures 4.9603, 4.9603 and 22.4790 Å, with angles of 90.00, 90.00 and 120.00 degrees. The asymmetric unit holds Ba at (0.0000, 0.0000, 0.0000), Si at (0.0000, 0.0000, 0.2345), Ge at (0.0000, 0.0000, 0.5000), O at (0.0000, 0.0000, 0.3077) and O at (0.0059, 0.3778, 0.1174).

For the formation energy without anion corrections, the calculation gives -25.19 eV per formula unit. The calculation puts the theoretical density at 4.10 g/cm³.

***

Entry 7:
Na2TbTcO6 | GGA-PBE | relaxed

The space group is P2_1/c (No. 14) and the conventional cell measures 5.627, 5.776 and 9.798 Å, with angles of 90.00, 124.69 and 90.00 degrees. The asymmetric unit holds Na at (0.241, 0.040, 0.251), Tb at (0.500, 0.000, 0.000), Tc at (0.000, 0.000, 0.500), O at (0.127, 0.229, 0.948), O at (0.228, 0.684, 0.956) and O at (0.317, 0.029, 0.726).

For the formation energy without anion corrections, the calculation gives -19.81 eV per formula unit. The calculation puts the theoretical density at 5.06 g/cm³.

***

Entry 8:
LaSi2Pt | GGA-PBE | relaxed

The space group is I-42d (No. 122) and the conventional cell measures 4.719, 4.719 and 16.441 Å, with angles of 90.00, 90.00 and 90.00 degrees. The asymmetric unit holds La at (0.000, 0.000, 0.000), Si at (0.065, 0.250, 0.625) and Pt at (0.000, 0.000, 0.500).

For the formation energy without anion corrections, the calculation gives -2.72 eV per formula unit. The calculation puts the theoretical density at 7.08 g/cm³.

***

Entry 9:
BP2IrO | GGA-PBE | relaxed

The space group is P4/mmm (No. 123) and the conventional cell measures 4.568, 4.568 and 2.809 Å, with angles of 90.00, 90.00 and 90.00 degrees. The asymmetric unit holds B at (0.000, 0.000, 0.000), P at (0.000, 0.500, 0.000), Ir at (0.500, 0.500, 0.500) and O at (0.000, 0.000, 0.500).

For the formation energy without anion corrections, the calculation gives 0.88 eV per formula unit. The calculation puts the theoretical density at 7.96 g/cm³.

***

Entry 10:
AcLa6Cd | GGA-PBE | relaxed

The space group is P4/mmm (No. 123) and the conventional cell measures 5.201, 5.201 and 10.468 Å, with angles of 90.00, 90.00 and 90.00 degrees. The asymmetric unit holds Ac at (0.000, 0.000, 0.000), La at (0.000, 0.500, 0.260), La at (0.500, 0.500, 0.000), La at (0.500, 0.500, 0.500) and Cd at (0.000, 0.000, 0.500).

The value obtained for the calculated formation energy is -51 meV per atom. The calculation puts the theoretical density at 6.88 g/cm³.

***

Entry 11:
Os2W | GGA-PBE | relaxed

The space group is P6_3/mmc (No. 194) and the conventional cell measures 5.1486, 5.1486 and 8.1591 Å, with angles of 90.00, 90.00 and 120.00 degrees. The asymmetric unit holds Os at (0.0000, 0.0000, 0.0000), Os at (0.1747, 0.3495, 0.2500) and W at (0.3333, 0.6667, 0.5820).

The value obtained for the calculated formation energy is 313 meV per atom. The calculation puts the theoretical density at 20.01 g/cm³.

***

Entry 12:
PmSm2Dy12 | GGA-PBE | relaxed

The space group is Cmme (No. 67) and the conventional cell measures 7.052, 11.302 and 24.778 Å, with angles of 90.00, 90.00 and 90.00 degrees. The asymmetric unit holds Pm at (0.000, 0.250, 0.000), Sm at (0.000, 0.250, 0.266), Sm at (0.000, 0.250, 0.729), Dy at (0.000, 0.001, 0.079), Dy at (0.000, 0.013, 0.561), Dy at (0.239, 0.250, 0.415), Dy at (0.249, 0.250, 0.872), Dy at (0.250, 0.000, 0.200) and Dy at (0.250, 0.000, 0.328).

The value obtained for the calculated formation energy is 165 meV per atom. The calculation puts the theoretical density at 8.06 g/cm³.

***

Volume / A^3/atom: 24.90 34.06 18.83 19.90 16.17 13.31 13.09 22.88 11.72 35.40 15.61 32.91